RuC3Br: relaxed, PBE.

The structure belongs to space group Pm-3m (No. 221); the cell edges are 3.846, 3.846 and 3.846 Å and the angles 90.00°, 90.00° and 90.00°. The inequivalent atoms are Ru at (0.000, 0.000, 0.000), C at (0.000, 0.500, 0.500) and Br at (0.500, 0.500, 0.500).

The value obtained for the uncorrected formation energy is 3626.5 meV per atom. The value obtained for the total energy is -20.49 eV per formula unit.

=====

RuCBr2: relaxed, PBE.

The structure belongs to space group R-3m (No. 166, hexagonal axes); the cell edges are 3.2794, 3.2794 and 23.4756 Å and the angles 90.00°, 90.00° and 120.00°. The inequivalent atoms are Ru at (0.0000, 0.0000, 0.0000), C at (0.0000, 0.0000, 0.5000) and Br at (0.0000, 0.0000, 0.1016).

The value obtained for the uncorrected formation energy is 1848.4 meV per atom. The value obtained for the total energy is -14.45 eV per formula unit.

=====

RuCBr2: relaxed, PBE.

The structure belongs to space group I-42d (No. 122); the cell edges are 5.373, 5.373 and 11.817 Å and the angles 90.00°, 90.00° and 90.00°. The inequivalent atoms are Ru at (0.000, 0.000, 0.000), C at (0.000, 0.000, 0.500) and Br at (0.239, 0.250, 0.625).

The value obtained for the uncorrected formation energy is 1866.8 meV per atom. The value obtained for the total energy is -14.38 eV per formula unit.

=====

RuCBr2: relaxed, PBE.

The structure belongs to space group Fm-3m (No. 225); the cell edges are 6.356, 6.356 and 6.356 Å and the angles 90.00°, 90.00° and 90.00°. The inequivalent atoms are Ru at (0.000, 0.000, 0.000), C at (0.000, 0.000, 0.500) and Br at (0.250, 0.250, 0.250).

The value obtained for the uncorrected formation energy is 1994.4 meV per atom. The value obtained for the total energy is -13.87 eV per formula unit.

=====

SbRu2CBr: relaxed, PBE.

The structure belongs to space group P4/mmm (No. 123); the cell edges are 5.125, 5.125 and 4.148 Å and the angles 90.00°, 90.00° and 90.00°. The inequivalent atoms are Sb at (0.000, 0.000, 0.000), Ru at (0.000, 0.500, 0.000), C at (0.000, 0.000, 0.500) and Br at (0.500, 0.500, 0.500).

The value obtained for the uncorrected formation energy is 2053.2 meV per atom. The value obtained for the total energy is -23.30 eV per formula unit.

=====

RuCSe2Br: relaxed, PBE.

The structure belongs to space group P4/mmm (No. 123); the cell edges are 4.327, 4.327 and 4.468 Å and the angles 90.00°, 90.00° and 90.00°. The inequivalent atoms are Ru at (0.000, 0.000, 0.000), C at (0.500, 0.500, 0.500), Se at (0.000, 0.500, 0.500) and Br at (0.500, 0.500, 0.000).

The value obtained for the uncorrected formation energy is 1553.0 meV per atom. The value obtained for the total energy is -19.38 eV per formula unit.

=====

Ru2CSeBr: relaxed, PBE.

The structure belongs to space group P4/mmm (No. 123); the cell edges are 3.980, 3.980 and 5.854 Å and the angles 90.00°, 90.00° and 90.00°. The inequivalent atoms are Ru at (0.000, 0.500, 0.000), C at (0.000, 0.000, 0.000), Se at (0.500, 0.500, 0.500) and Br at (0.000, 0.000, 0.500).

The value obtained for the uncorrected formation energy is 1156.8 meV per atom. The value obtained for the total energy is -27.15 eV per formula unit.

=====

RuCSe2Br: relaxed, PBE.

The structure belongs to space group P4/mmm (No. 123); the cell edges are 4.755, 4.755 and 5.311 Å and the angles 90.00°, 90.00° and 90.00°. The inequivalent atoms are Ru at (0.000, 0.000, 0.000), C at (0.500, 0.500, 0.500), Se at (0.000, 0.500, 0.000) and Br at (0.000, 0.000, 0.500).

The value obtained for the uncorrected formation energy is 1651.7 meV per atom. The value obtained for the total energy is -18.88 eV per formula unit.

=====

Sm6Ru2CBr3: relaxed, PBE.

The structure belongs to space group C2/m (No. 12); the cell edges are 6.931, 11.999 and 7.935 Å and the angles 90.00°, 106.82° and 90.00°. The inequivalent atoms are Sm at (0.217, 0.156, 0.186), Sm at (0.247, 0.500, 0.186), Ru at (0.000, 0.333, 0.000), C at (0.000, 0.000, 0.000), Br at (0.000, 0.164, 0.500) and Br at (0.000, 0.500, 0.500).

The value obtained for the uncorrected formation energy is -788.5 meV per atom. The value obtained for the total energy is -70.57 eV per formula unit.

=====

SnRuCBr2: relaxed, PBE.

The structure belongs to space group P4/mmm (No. 123); the cell edges are 5.661, 5.661 and 4.080 Å and the angles 90.00°, 90.00° and 90.00°. The inequivalent atoms are Sn at (0.000, 0.000, 0.000), Ru at (0.500, 0.500, 0.500), C at (0.000, 0.000, 0.500) and Br at (0.000, 0.500, 0.000).

The value obtained for the uncorrected formation energy is 1607.1 meV per atom. The value obtained for the total energy is -17.81 eV per formula unit.

=====

TcRu2CBr: relaxed, PBE.

The structure belongs to space group P4/mmm (No. 123); the cell edges are 4.105, 4.105 and 4.187 Å and the angles 90.00°, 90.00° and 90.00°. The inequivalent atoms are Tc at (0.000, 0.000, 0.000), Ru at (0.000, 0.500, 0.500), C at (0.000, 0.000, 0.500) and Br at (0.500, 0.500, 0.000).

The value obtained for the uncorrected formation energy is 868.8 meV per atom. The value obtained for the total energy is -35.47 eV per formula unit.

=====

CSeSBr2: relaxed, PBE.

The structure belongs to space group P4/mmm (No. 123); the cell edges are 4.972, 4.972 and 5.132 Å and the angles 90.00°, 90.00° and 90.00°. The inequivalent atoms are C at (0.000, 0.000, 0.000), Se at (0.500, 0.500, 0.000), S at (0.500, 0.500, 0.500) and Br at (0.000, 0.500, 0.500).

The value obtained for the uncorrected formation energy is 1781.8 meV per atom. The value obtained for the total energy is -11.27 eV per formula unit.

=====

CSeSBr2: relaxed, PBE.

The structure belongs to space group P4/mmm (No. 123); the cell edges are 4.610, 4.610 and 4.521 Å and the angles 90.00°, 90.00° and 90.00°. The inequivalent atoms are C at (0.000, 0.000, 0.000), Se at (0.000, 0.000, 0.500), S at (0.500, 0.500, 0.500) and Br at (0.000, 0.500, 0.000).

The value obtained for the uncorrected formation energy is 1466.9 meV per atom. The value obtained for the total energy is -12.85 eV per formula unit.

=====

Sm6C2SBr3: relaxed, PBE.

The structure belongs to space group C2/m (No. 12); the cell edges are 6.713, 11.629 and 7.595 Å and the angles 90.00°, 107.14° and 90.00°. The inequivalent atoms are Sm at (0.207, 0.000, 0.185), Sm at (0.239, 0.323, 0.185), C at (0.000, 0.167, 0.000), S at (0.000, 0.500, 0.000), Br at (0.000, 0.000, 0.500) and Br at (0.000, 0.335, 0.500).

The value obtained for the uncorrected formation energy is -1161.5 meV per atom. The value obtained for the total energy is -69.85 eV per formula unit.

=====

Sm8C3SBr4: relaxed, PBE.

The structure belongs to space group R-3m (No. 166, hexagonal axes); the cell edges are 7.7111, 7.7111 and 21.7897 Å and the angles 90.00°, 90.00° and 120.00°. The inequivalent atoms are Sm at (0.0000, 0.0000, 0.2273), Sm at (0.0219, 0.5110, 0.7715), C at (0.0000, 0.5000, 0.5000), S at (0.0000, 0.0000, 0.5000), Br at (0.0000, 0.0000, 0.0000) and Br at (0.0000, 0.5000, 0.0000).

The value obtained for the uncorrected formation energy is -1094.9 meV per atom. The value obtained for the total energy is -93.76 eV per formula unit.

=====

Sm6C2SBr2: relaxed, PBE.

The structure belongs to space group C2/m (No. 12); the cell edges are 6.722, 11.589 and 7.247 Å and the angles 90.00°, 106.92° and 90.00°. The inequivalent atoms are Sm at (0.201, 0.000, 0.201), Sm at (0.245, 0.325, 0.198), C at (0.000, 0.169, 0.000), S at (0.000, 0.500, 0.000) and Br at (0.000, 0.339, 0.500).

The value obtained for the uncorrected formation energy is -976.3 meV per atom. The value obtained for the total energy is -64.98 eV per formula unit.

=====

Sm4CSBr2: relaxed, PBE.

The structure belongs to space group P2/m (No. 10); the cell edges are 6.926, 3.899 and 7.508 Å and the angles 90.00°, 107.41° and 90.00°. The inequivalent atoms are Sm at (0.206, 0.000, 0.187), Sm at (0.237, 0.500, 0.809), C at (0.000, 0.500, 0.000), S at (0.500, 0.000, 0.000), Br at (0.000, 0.000, 0.500) and Br at (0.500, 0.500, 0.500).

The value obtained for the uncorrected formation energy is -1262.1 meV per atom. The value obtained for the total energy is -45.67 eV per formula unit.

=====

Tb6C2SBr2: relaxed, PBE.

The structure belongs to space group C2/m (No. 12); the cell edges are 6.590, 11.370 and 7.066 Å and the angles 90.00°, 106.91° and 90.00°. The inequivalent atoms are Tb at (0.199, 0.000, 0.200), Tb at (0.245, 0.325, 0.197), C at (0.000, 0.169, 0.000), S at (0.000, 0.500, 0.000) and Br at (0.000, 0.339, 0.500).

The value obtained for the uncorrected formation energy is -997.5 meV per atom. The value obtained for the total energy is -64.68 eV per formula unit.

=====

Tb6C2SBr3: relaxed, PBE.

The structure belongs to space group C2/m (No. 12); the cell edges are 6.595, 11.426 and 7.428 Å and the angles 90.00°, 107.22° and 90.00°. The inequivalent atoms are Tb at (0.206, 0.000, 0.182), Tb at (0.238, 0.322, 0.183), C at (0.000, 0.167, 0.000), S at (0.000, 0.500, 0.000), Br at (0.000, 0.000, 0.500) and Br at (0.000, 0.335, 0.500).

The value obtained for the uncorrected formation energy is -1164.8 meV per atom. The value obtained for the total energy is -69.35 eV per formula unit.

=====

Tb6C3S2Br: relaxed, PBE.

The structure belongs to space group C2/m (No. 12); the cell edges are 16.963, 3.739 and 7.851 Å and the angles 90.00°, 107.13° and 90.00°. The inequivalent atoms are Tb at (0.011, 0.000, 0.214), Tb at (0.160, 0.500, 0.102), Tb at (0.180, 0.500, 0.563), C at (0.000, 0.500, 0.000), C at (0.167, 0.000, 0.332), S at (0.164, 0.000, 0.828) and Br at (0.000, 0.500, 0.500).

The value obtained for the uncorrected formation energy is -1164.8 meV per atom. The value obtained for the total energy is -79.36 eV per formula unit.

=====

Th6C3S2Br: relaxed, PBE.

The structure belongs to space group C2/m (No. 12); the cell edges are 17.708, 3.843 and 8.187 Å and the angles 90.00°, 108.76° and 90.00°. The inequivalent atoms are Th at (0.011, 0.000, 0.216), Th at (0.160, 0.500, 0.103), Th at (0.180, 0.500, 0.562), C at (0.000, 0.500, 0.000), C at (0.168, 0.000, 0.331), S at (0.164, 0.000, 0.828) and Br at (0.000, 0.500, 0.500).

The value obtained for the uncorrected formation energy is -1039.7 meV per atom. The value obtained for the total energy is -94.59 eV per formula unit.

=====

TiCSBr: relaxed, PBE.

The structure belongs to space group Pm (No. 6); the cell edges are 3.725, 5.088 and 5.016 Å and the angles 90.00°, 111.39° and 90.00°. The inequivalent atoms are Ti at (0.000, 0.000, 0.000), C at (0.578, 0.000, 0.184), S at (0.977, 0.000, 0.476) and Br at (0.911, 0.500, 0.898).

The value obtained for the uncorrected formation energy is -183.0 meV per atom. The value obtained for the total energy is -23.65 eV per formula unit.

=====

TiCSBr: relaxed, PBE.

The structure belongs to space group Cm (No. 8); the cell edges are 15.643, 3.034 and 3.337 Å and the angles 90.00°, 97.19° and 90.00°. The inequivalent atoms are Ti at (0.000, 0.000, 0.000), C at (0.035, 0.500, 0.516), S at (0.127, 0.500, 0.299) and Br at (0.366, 0.000, 0.925).

The value obtained for the uncorrected formation energy is -218.9 meV per atom. The value obtained for the total energy is -23.79 eV per formula unit.

=====

TiCSBr: relaxed, PBE.

The structure belongs to space group Pmm2 (No. 25); the cell edges are 3.476, 5.149 and 4.632 Å and the angles 90.00°, 90.00° and 90.00°. The inequivalent atoms are Ti at (0.000, 0.000, 0.000), C at (0.500, 0.000, 0.243), S at (0.500, 0.000, 0.599) and Br at (0.000, 0.500, 0.010).

The value obtained for the uncorrected formation energy is -178.1 meV per atom. The value obtained for the total energy is -23.63 eV per formula unit.

=====

TiCSBr: relaxed, PBE.

The structure belongs to space group P1 (No. 1); the cell edges are 3.319, 3.320 and 8.064 Å and the angles 90.48°, 99.70° and 119.95°. The inequivalent atoms are Ti at (0.000, 0.000, 0.000), C at (0.591, 0.293, 0.864), S at (0.442, 0.725, 0.194) and Br at (0.460, 0.222, 0.629).

The value obtained for the uncorrected formation energy is -39.0 meV per atom. The value obtained for the total energy is -23.08 eV per formula unit.